# 1
The following is a DFT calculation (PBE) of a relaxed PtCBr3 crystal.

Summary:
- Formation energy without anion corrections: 1.48 eV/atom
- Symmetry: Pm-3m (221)
- Energy: -2.58 eV per atom

a = 5.115 Å, b = 5.115 Å, c = 5.115 Å
α = 90.00°, β = 90.00°, γ = 90.00°
Each line ends with the local moment (μB).
Fractional coordinates of all 5 atoms:
C: 0.500 0.500 0.500  0.83
Br: 0.500 0.000 0.000  -0.13
Br: 0.000 0.000 0.500  -0.05
Br: 0.000 0.500 0.000  -0.05
Pt: 0.000 0.000 0.000  -0.10

=====

# 2
The following is a DFT calculation (PBE) of a relaxed PtC2Br2 crystal.

Summary:
- Formation energy without anion corrections: 2.46 eV/atom
- Symmetry: P4/mbm (127)
- Energy: -3.11 eV per atom

a = 7.251 Å, b = 7.251 Å, c = 3.407 Å
α = 90.00°, β = 90.00°, γ = 90.00°
Fractional coordinates of all 10 atoms:
Br: 0.670 0.170 0.000
Br: 0.170 0.330 0.000
Br: 0.330 0.830 0.000
Br: 0.830 0.670 0.000
C: 0.781 0.281 0.500
C: 0.219 0.719 0.500
C: 0.281 0.219 0.500
C: 0.719 0.781 0.500
Pt: 0.500 0.500 0.000
Pt: 0.000 0.000 0.000

=====

# 3
The following is a DFT calculation (PBE) of a relaxed PtCBr2 crystal.

Summary:
- Formation energy without anion corrections: 1.66 eV/atom
- Symmetry: I-42d (122)
- Energy: -3.00 eV per atom

a = 5.706 Å, b = 5.706 Å, c = 6.937 Å
α = 65.71°, β = 65.71°, γ = 90.00°
Fractional coordinates of all 8 atoms:
Br: 0.153 0.625 0.250
Br: 0.375 0.403 0.750
Br: 0.597 0.125 0.250
Br: 0.875 0.847 0.750
Pt: 0.750 0.250 0.500
Pt: 0.000 0.000 0.000
C: 0.250 0.750 0.500
C: 0.500 0.500 0.000

=====

# 4
The following is a DFT calculation (PBE) of a relaxed PtCBr2 crystal.

Summary:
- Formation energy without anion corrections: 1.55 eV/atom
- Symmetry: R-3m (166)
- Energy: -3.10 eV per atom

a = 8.154 Å, b = 8.154 Å, c = 8.154 Å
α = 23.84°, β = 23.84°, γ = 23.84°
Fractional coordinates of all 4 atoms:
Br: 0.102 0.102 0.102
Br: 0.898 0.898 0.898
C: 0.500 0.500 0.500
Pt: 0.000 0.000 0.000